1.
## BC2IF (PBE)

Data for a relaxed BC2IF crystal.

Output
Raw formation energy ... 2870 meV per atom
Crystal system ... tetragonal
Total DFT energy (no corrections) ... -14.198 eV per formula unit

abc: 4.214 4.214 4.520
angles: 90.00 90.00 90.00
Space group P4/mmm (No. 123)
Symmetry-distinct sites (fractional):
1 B 0.000 0.000 0.000 x1
2 C 0.000 0.500 0.500 x2
3 I 0.500 0.500 0.500 x1
4 F 0.500 0.500 0.000 x1

---

2.
## KBC3N3F (PBE)

Data for a relaxed KBC3N3F crystal.

Output
Raw formation energy ... -469 meV per atom
Crystal system ... triclinic
Total DFT energy (no corrections) ... -66.512 eV per formula unit

abc: 6.674 7.565 7.765
angles: 67.16 72.63 86.73
Space group P-1 (No. 2)
Symmetry-distinct sites (fractional):
1 K 0.169 0.426 0.235 x2
2 B 0.373 0.134 0.699 x2
3 C 0.224 0.220 0.847 x2
4 C 0.400 0.913 0.819 x2
5 C 0.401 0.751 0.390 x2
6 N 0.117 0.287 0.952 x2
7 N 0.237 0.666 0.453 x2
8 N 0.422 0.753 0.907 x2
9 F 0.284 0.154 0.547 x2

---

3.
## LiBC2O4F2 (PBE)

Data for a relaxed LiBC2O4F2 crystal.

Output
Raw formation energy ... -1902 meV per atom
Crystal system ... orthorhombic
Total DFT energy (no corrections) ... -69.635 eV per formula unit

abc: 6.461 11.737 6.456
angles: 90.00 90.00 90.00
Space group Cmcm (No. 63)
Symmetry-distinct sites (fractional):
1 Li 0.000 0.033 0.250 x4
2 B 0.000 0.393 0.750 x4
3 C 0.000 0.207 0.631 x8
4 O 0.000 0.119 0.528 x8
5 O 0.000 0.313 0.565 x8
6 F 0.178 0.460 0.750 x8

---

4.
## B2PtCF (PBE)

Data for a relaxed B2PtCF crystal.

Output
Raw formation energy ... 1791 meV per atom
Crystal system ... tetragonal
Total DFT energy (no corrections) ... -21.536 eV per formula unit

abc: 4.084 4.084 4.343
angles: 90.00 90.00 90.00
Space group P4/mmm (No. 123)
Symmetry-distinct sites (fractional):
1 B 0.000 0.500 0.000 x2
2 Pt 0.000 0.000 0.000 x1
3 C 0.500 0.500 0.500 x1
4 F 0.000 0.000 0.500 x1

---

5.
## BSb2CF (PBE)

Data for a relaxed BSb2CF crystal.

Output
Raw formation energy ... 980 meV per atom
Crystal system ... tetragonal
Total DFT energy (no corrections) ... -21.116 eV per formula unit

abc: 4.710 4.710 3.437
angles: 90.00 90.00 90.00
Space group P4/mmm (No. 123)
Symmetry-distinct sites (fractional):
1 B 0.000 0.000 0.000 x1
2 Sb 0.000 0.500 0.000 x2
3 C 0.500 0.500 0.500 x1
4 F 0.000 0.000 0.500 x1

---

6.
## SrBCF2 (PBE)

Data for a relaxed SrBCF2 crystal.

Output
Raw formation energy ... -1088 meV per atom
Crystal system ... tetragonal
Total DFT energy (no corrections) ... -26.766 eV per formula unit

abc: 4.735 4.735 2.905
angles: 90.00 90.00 90.00
Space group P4/mmm (No. 123)
Symmetry-distinct sites (fractional):
1 Sr 0.000 0.000 0.000 x1
2 B 0.500 0.500 0.000 x1
3 C 0.500 0.500 0.500 x1
4 F 0.000 0.500 0.500 x2

---

7.
## BTeC2F (PBE)

Data for a relaxed BTeC2F crystal.

Output
Raw formation energy ... 2396 meV per atom
Crystal system ... tetragonal
Total DFT energy (no corrections) ... -18.157 eV per formula unit

abc: 4.166 4.166 4.256
angles: 90.00 90.00 90.00
Space group P4/mmm (No. 123)
Symmetry-distinct sites (fractional):
1 B 0.000 0.000 0.000 x1
2 Te 0.500 0.500 0.500 x1
3 C 0.000 0.500 0.500 x2
4 F 0.500 0.500 0.000 x1

---

8.
## TlBC2F (PBE)

Data for a relaxed TlBC2F crystal.

Output
Raw formation energy ... 2679 meV per atom
Crystal system ... tetragonal
Total DFT energy (no corrections) ... -15.970 eV per formula unit

abc: 4.048 4.048 3.948
angles: 90.00 90.00 90.00
Space group P4/mmm (No. 123)
Symmetry-distinct sites (fractional):
1 Tl 0.000 0.000 0.000 x1
2 B 0.500 0.500 0.000 x1
3 C 0.000 0.500 0.500 x2
4 F 0.500 0.500 0.500 x1

---

9.
## ZrBC2F (PBE)

Data for a relaxed ZrBC2F crystal.

Output
Raw formation energy ... 1573 meV per atom
Crystal system ... tetragonal
Total DFT energy (no corrections) ... -27.679 eV per formula unit

abc: 3.931 3.931 3.384
angles: 90.00 90.00 90.00
Space group P4/mmm (No. 123)
Symmetry-distinct sites (fractional):
1 Zr 0.000 0.000 0.000 x1
2 B 0.500 0.500 0.000 x1
3 C 0.000 0.500 0.500 x2
4 F 0.500 0.500 0.500 x1

---

10.
## Fe23B3C3 (PBE)

Data for a relaxed Fe23B3C3 crystal.

Output
Formation enthalpy at 0 K ... -1.94 eV per formula unit
Crystal system ... trigonal
Total DFT energy (no corrections) ... -244.281 eV per formula unit

abc: 7.4566 7.4566 18.2727
angles: 90.00 90.00 120.00
Space group R3m (No. 160, hexagonal axes)
Symmetry-distinct sites (fractional):
1 Fe 0.0000 0.0000 0.0339 x3
2 Fe 0.0000 0.0000 0.1674 x3
3 Fe 0.0000 0.0000 0.4023 x3
4 Fe 0.0000 0.0000 0.5340 x3
5 Fe 0.0000 0.0000 0.7759 x3
6 Fe 0.0032 0.3424 0.7837 x18
7 Fe 0.0228 0.5114 0.9098 x9
8 Fe 0.1021 0.5510 0.3333 x9
9 Fe 0.1754 0.3508 0.9878 x9
10 Fe 0.2215 0.4429 0.5604 x9
11 B 0.0327 0.5164 0.0252 x9
12 C 0.1859 0.3717 0.8764 x9

---

11.
## Fe6BC (PBE)

Data for a relaxed Fe6BC crystal.

Output
Formation enthalpy at 0 K ... -0.59 eV per formula unit
Crystal system ... orthorhombic
Total DFT energy (no corrections) ... -67.268 eV per formula unit

abc: 6.649 4.444 5.223
angles: 90.00 90.00 90.00
Space group Pmc2_1 (No. 26)
Symmetry-distinct sites (fractional):
1 Fe 0.000 0.095 0.000 x2
2 Fe 0.186 0.411 0.360 x4
3 Fe 0.306 0.096 0.712 x4
4 Fe 0.500 0.378 0.056 x2
5 B 0.500 0.181 0.416 x2
6 C 0.000 0.315 0.657 x2

---

12.
## FeBC (PBE)

Data for a relaxed FeBC crystal.

Output
Formation enthalpy at 0 K ... 2.28 eV per formula unit
Crystal system ... tetragonal
Total DFT energy (no corrections) ... -22.086 eV per formula unit

abc: 2.853 2.853 5.513
angles: 90.00 90.00 90.00
Space group I4mm (No. 107)
Symmetry-distinct sites (fractional):
1 Fe 0.000 0.000 0.000 x2
2 B 0.000 0.000 0.638 x2
3 C 0.000 0.000 0.360 x2

---

13.
## Fe3BC (PBE)

Data for a relaxed Fe3BC crystal.

Output
Formation enthalpy at 0 K ... 2.27 eV per formula unit
Crystal system ... cubic
Offset from the most stable computed form ... 0.00 eV/f.u.
Total DFT energy (no corrections) ... -39.021 eV per formula unit

abc: 3.644 3.644 3.644
angles: 90.00 90.00 90.00
Space group Pm-3m (No. 221)
Symmetry-distinct sites (fractional):
1 Fe 0.000 0.000 0.500 x3
2 B 0.500 0.500 0.500 x1
3 C 0.000 0.000 0.000 x1

---

14.
## FeB3C (PBE)

Data for a relaxed FeB3C crystal.

Output
Formation enthalpy at 0 K ... 10.51 eV per formula unit
Crystal system ... cubic
Total DFT energy (no corrections) ... -27.213 eV per formula unit

abc: 3.734 3.734 3.734
angles: 90.00 90.00 90.00
Space group Pm-3m (No. 221)
Symmetry-distinct sites (fractional):
1 Fe 0.000 0.000 0.000 x1
2 B 0.000 0.000 0.500 x3
3 C 0.500 0.500 0.500 x1

---

15.
## Ga2FeBC (PBE)

Data for a relaxed Ga2FeBC crystal.

Output
Formation enthalpy at 0 K ... 5.67 eV per formula unit
Crystal system ... tetragonal
Total DFT energy (no corrections) ... -24.749 eV per formula unit

abc: 4.056 4.056 3.682
angles: 90.00 90.00 90.00
Space group P4/mmm (No. 123)
Symmetry-distinct sites (fractional):
1 Ga 0.000 0.500 0.000 x2
2 Fe 0.000 0.000 0.500 x1
3 B 0.500 0.500 0.500 x1
4 C 0.000 0.000 0.000 x1

---

16.
## Fe2BHC (PBE)

Data for a relaxed Fe2BHC crystal.

Output
Crystal system ... tetragonal
Total DFT energy (no corrections) ... -33.282 eV per formula unit

abc: 3.914 3.914 2.910
angles: 90.00 90.00 90.00
Space group P4/mmm (No. 123)
Symmetry-distinct sites (fractional):
1 Fe 0.000 0.500 0.000 x2
2 B 0.000 0.000 0.500 x1
3 H 0.500 0.500 0.500 x1
4 C 0.000 0.000 0.000 x1

---

17.
## Ho2Fe2B2C (PBE)

Data for a relaxed Ho2Fe2B2C crystal.

Output
Formation enthalpy at 0 K ... -3.21 eV per formula unit
Crystal system ... monoclinic
Total DFT energy (no corrections) ... -51.869 eV per formula unit

abc: 10.164 3.567 6.377
angles: 90.00 126.80 90.00
Space group C2/m (No. 12)
Symmetry-distinct sites (fractional):
1 Ho 0.062 0.000 0.315 x4
2 Fe 0.204 0.500 0.094 x4
3 B 0.192 0.500 0.761 x4
4 C 0.000 0.500 0.000 x2

---

18.
## HoFe2BC (PBE)

Data for a relaxed HoFe2BC crystal.

Output
Formation enthalpy at 0 K ... -1.64 eV per formula unit
Crystal system ... orthorhombic
Total DFT energy (no corrections) ... -39.047 eV per formula unit

abc: 3.485 9.983 6.615
angles: 90.00 90.00 90.00
Space group Cmcm (No. 63)
Symmetry-distinct sites (fractional):
1 Ho 0.000 0.048 0.250 x4
2 Fe 0.000 0.325 0.063 x8
3 B 0.000 0.231 0.750 x4
4 C 0.000 0.500 0.000 x4

---

19.
## La2Fe2B2C (PBE)

Data for a relaxed La2Fe2B2C crystal.

Output
Formation enthalpy at 0 K ... -2.12 eV per formula unit
Crystal system ... monoclinic
Total DFT energy (no corrections) ... -51.480 eV per formula unit

abc: 10.400 3.696 6.826
angles: 90.00 125.37 90.00
Space group C2/m (No. 12)
Symmetry-distinct sites (fractional):
1 La 0.062 0.000 0.316 x4
2 Fe 0.197 0.500 0.080 x4
3 B 0.213 0.500 0.799 x4
4 C 0.000 0.500 0.000 x2

---

20.
## NbFeBC2 (PBE)

Data for a relaxed NbFeBC2 crystal.

Output
Formation enthalpy at 0 K ... 7.16 eV per formula unit
Crystal system ... tetragonal
Total DFT energy (no corrections) ... -36.495 eV per formula unit

abc: 3.654 3.654 3.558
angles: 90.00 90.00 90.00
Space group P4/mmm (No. 123)
Symmetry-distinct sites (fractional):
1 Nb 0.000 0.000 0.000 x1
2 Fe 0.500 0.500 0.000 x1
3 B 0.500 0.500 0.500 x1
4 C 0.000 0.500 0.500 x2

---

21.
## Nd2Fe2BC2 (PBE)

Data for a relaxed Nd2Fe2BC2 crystal.

Output
Formation enthalpy at 0 K ... -0.86 eV per formula unit
Crystal system ... monoclinic
Total DFT energy (no corrections) ... -52.450 eV per formula unit

abc: 10.247 3.545 6.483
angles: 90.00 124.35 90.00
Space group C2/m (No. 12)
Symmetry-distinct sites (fractional):
1 Nd 0.070 0.000 0.336 x4
2 Fe 0.207 0.500 0.085 x4
3 B 0.000 0.500 0.000 x2
4 C 0.208 0.500 0.783 x4

---

22.
## NdFe2BC (PBE)

Data for a relaxed NdFe2BC crystal.

Output
Formation enthalpy at 0 K ... -0.62 eV per formula unit
Crystal system ... orthorhombic
Total DFT energy (no corrections) ... -38.215 eV per formula unit

abc: 3.667 10.039 6.749
angles: 90.00 90.00 90.00
Space group Cmcm (No. 63)
Symmetry-distinct sites (fractional):
1 Nd 0.000 0.048 0.250 x4
2 Fe 0.000 0.323 0.062 x8
3 B 0.000 0.231 0.750 x4
4 C 0.000 0.500 0.000 x4

---

23.
## Nd2Fe2B2C (PBE)

Data for a relaxed Nd2Fe2B2C crystal.

Output
Formation enthalpy at 0 K ... -2.27 eV per formula unit
Crystal system ... monoclinic
Total DFT energy (no corrections) ... -51.307 eV per formula unit

abc: 10.346 3.666 6.665
angles: 90.00 125.88 90.00
Space group C2/m (No. 12)
Symmetry-distinct sites (fractional):
1 Nd 0.062 0.000 0.316 x4
2 Fe 0.199 0.500 0.083 x4
3 B 0.208 0.500 0.787 x4
4 C 0.000 0.500 0.000 x2

---

24.
## Fe2BPdC (PBE)

Data for a relaxed Fe2BPdC crystal.

Output
Formation enthalpy at 0 K ... 5.91 eV per formula unit
Crystal system ... tetragonal
Total DFT energy (no corrections) ... -32.108 eV per formula unit

abc: 3.859 3.859 4.057
angles: 90.00 90.00 90.00
Space group P4/mmm (No. 123)
Symmetry-distinct sites (fractional):
1 Fe 0.000 0.500 0.000 x2
2 B 0.000 0.000 0.000 x1
3 Pd 0.000 0.000 0.500 x1
4 C 0.500 0.500 0.500 x1